A plane-wave DFT calculation with GGA-PBE was carried out for a relaxed structure of Zr3S.

Values from the calculation:
The space-group type is No. 44. For the magnetization, the calculation gives 0.0 Bohr magnetons per cell. As for the energy above the most stable polymorph in this dataset: 157 meV per atom. The calculation puts the uncorrected formation energy at -0.646 eV/atom. Its uncorrected energy is -8.09 eV per atom.

Structure (CIF):
```
data_Zr3S
_chemical_formula_sum 'Zr3 S1'
_cell_length_a 3.3218
_cell_length_b 5.7061
_cell_length_c 5.4543
_cell_angle_alpha 121.54
_cell_angle_beta 107.73
_cell_angle_gamma 90.00
_symmetry_space_group_name_H-M 'P 1'
_symmetry_Int_Tables_number 1
loop_
_symmetry_equiv_pos_as_xyz
'x,y,z'
loop_
_atom_site_label
_atom_site_type_symbol
_atom_site_fract_x
_atom_site_fract_y
_atom_site_fract_z
S1 S 0.0000 0.0614 0.0000
Zr1 Zr 0.6964 0.0429 0.3929
Zr2 Zr 0.5000 0.4124 0.0000
Zr3 Zr 0.3036 0.6500 0.6071
```

---

A plane-wave DFT calculation with GGA-PBE was carried out for a relaxed structure of CeGdSn2.

Values from the calculation:
The energy relative to the elements comes out at -0.55 eV per atom. The space-group type is No. 225. For the magnetization, the calculation gives 6.5 Bohr magnetons per cell. As for the energy above the most stable polymorph in this dataset: 95 meV per atom. Its uncorrected energy is -7.56 eV per atom.

Structure (CIF):
```
data_CeGdSn2
_chemical_formula_sum 'Ce1 Gd1 Sn2'
_cell_length_a 5.4255
_cell_length_b 5.4255
_cell_length_c 5.4255
_cell_angle_alpha 60.00
_cell_angle_beta 60.00
_cell_angle_gamma 60.00
_symmetry_space_group_name_H-M 'P 1'
_symmetry_Int_Tables_number 1
loop_
_symmetry_equiv_pos_as_xyz
'x,y,z'
loop_
_atom_site_label
_atom_site_type_symbol
_atom_site_fract_x
_atom_site_fract_y
_atom_site_fract_z
Sn1 Sn 0.2500 0.2500 0.2500
Sn2 Sn 0.7500 0.7500 0.7500
Ce1 Ce 0.0000 0.0000 0.0000
Gd1 Gd 0.5000 0.5000 0.5000
```

---

A plane-wave DFT calculation with GGA-PBE was carried out for a relaxed structure of LaNi2As.

Values from the calculation:
The energy relative to the elements comes out at -0.17 eV per atom. The space-group type is No. 119. For the magnetization, the calculation gives 0.0 Bohr magnetons per cell. Its uncorrected energy is -5.45 eV per atom.

Structure (CIF):
```
data_LaNi2As
_chemical_formula_sum 'La1 Ni2 As1'
_cell_length_a 5.0629
_cell_length_b 5.0629
_cell_length_c 5.0629
_cell_angle_alpha 130.78
_cell_angle_beta 130.78
_cell_angle_gamma 72.16
_symmetry_space_group_name_H-M 'P 1'
_symmetry_Int_Tables_number 1
loop_
_symmetry_equiv_pos_as_xyz
'x,y,z'
loop_
_atom_site_label
_atom_site_type_symbol
_atom_site_fract_x
_atom_site_fract_y
_atom_site_fract_z
Ni1 Ni 0.0000 0.0000 0.0000
Ni2 Ni 0.2500 0.7500 0.5000
As1 As 0.5000 0.5000 0.0000
La1 La 0.7500 0.2500 0.5000
```

---

A plane-wave DFT calculation with GGA-PBE was carried out for a relaxed structure of Li2TbH6.

Values from the calculation:
The space-group type is No. 225. For the magnetization, the calculation gives 0.0 Bohr magnetons per cell. Its uncorrected energy is -2.85 eV per atom.

Structure (CIF):
```
data_Li2TbH6
_chemical_formula_sum 'Li2 Tb1 H6'
_cell_length_a 5.2991
_cell_length_b 5.2991
_cell_length_c 5.2991
_cell_angle_alpha 60.00
_cell_angle_beta 60.00
_cell_angle_gamma 60.00
_symmetry_space_group_name_H-M 'P 1'
_symmetry_Int_Tables_number 1
loop_
_symmetry_equiv_pos_as_xyz
'x,y,z'
loop_
_atom_site_label
_atom_site_type_symbol
_atom_site_fract_x
_atom_site_fract_y
_atom_site_fract_z
H1 H 0.7169 0.2831 0.7169
H2 H 0.2831 0.2831 0.7169
H3 H 0.2831 0.7169 0.7169
H4 H 0.7169 0.7169 0.2831
H5 H 0.7169 0.2831 0.2831
H6 H 0.2831 0.7169 0.2831
Li1 Li 0.2500 0.2500 0.2500
Li2 Li 0.7500 0.7500 0.7500
Tb1 Tb 0.0000 0.0000 0.0000
```

---

A plane-wave DFT calculation with GGA-PBE was carried out for a relaxed structure of Zr2CoS4.

Values from the calculation:
The space-group type is No. 8. For the magnetization, the calculation gives 0.9 Bohr magnetons per cell. The calculation puts the uncorrected formation energy at -1.293 eV/atom. Its uncorrected energy is -7.11 eV per atom.

Structure (CIF):
```
data_Zr2CoS4
_chemical_formula_sum 'Zr2 Co1 S4'
_cell_length_a 6.8940
_cell_length_b 6.8940
_cell_length_c 6.3055
_cell_angle_alpha 63.43
_cell_angle_beta 63.43
_cell_angle_gamma 30.76
_symmetry_space_group_name_H-M 'P 1'
_symmetry_Int_Tables_number 1
loop_
_symmetry_equiv_pos_as_xyz
'x,y,z'
loop_
_atom_site_label
_atom_site_type_symbol
_atom_site_fract_x
_atom_site_fract_y
_atom_site_fract_z
Zr1 Zr 0.0028 0.0028 0.0049
Zr2 Zr 0.5000 0.5000 0.4948
Co1 Co 0.6769 0.6769 0.9945
S1 S 0.6282 0.6282 0.7008
S2 S 0.1362 0.1362 0.2021
S3 S 0.8723 0.8723 0.7881
S4 S 0.3730 0.3730 0.2913
```

---

A plane-wave DFT calculation with GGA-PBE was carried out for a relaxed structure of Si3Te.

Values from the calculation:
The space-group type is No. 25. For the magnetization, the calculation gives 0.0 Bohr magnetons per cell. As for the energy above the most stable polymorph in this dataset: 99 meV per atom. The calculation puts the uncorrected formation energy at 0.377 eV/atom. Its uncorrected energy is -4.48 eV per atom.

Structure (CIF):
```
data_Si3Te
_chemical_formula_sum 'Si3 Te1'
_cell_length_a 3.8727
_cell_length_b 4.9296
_cell_length_c 4.7712
_cell_angle_alpha 90.00
_cell_angle_beta 90.00
_cell_angle_gamma 90.00
_symmetry_space_group_name_H-M 'P 1'
_symmetry_Int_Tables_number 1
loop_
_symmetry_equiv_pos_as_xyz
'x,y,z'
loop_
_atom_site_label
_atom_site_type_symbol
_atom_site_fract_x
_atom_site_fract_y
_atom_site_fract_z
Si1 Si 0.0000 0.0000 0.0305
Si2 Si 0.5000 0.0000 0.7391
Si3 Si 0.5000 0.5000 0.6445
Te1 Te 0.0000 0.5000 0.2526
```

---

A plane-wave DFT calculation with GGA-PBE was carried out for a relaxed structure of ErNbPb.

Values from the calculation:
The energy relative to the elements comes out at -0.08 eV per atom. The space-group type is No. 129. For the magnetization, the calculation gives 0.0 Bohr magnetons per cell. Its uncorrected energy is -6.20 eV per atom.

Structure (CIF):
```
data_ErNbPb
_chemical_formula_sum 'Er2 Nb2 Pb2'
_cell_length_a 3.5922
_cell_length_b 3.5922
_cell_length_c 11.3568
_cell_angle_alpha 90.00
_cell_angle_beta 90.00
_cell_angle_gamma 90.00
_symmetry_space_group_name_H-M 'P 1'
_symmetry_Int_Tables_number 1
loop_
_symmetry_equiv_pos_as_xyz
'x,y,z'
loop_
_atom_site_label
_atom_site_type_symbol
_atom_site_fract_x
_atom_site_fract_y
_atom_site_fract_z
Pb1 Pb 0.0000 0.5000 0.2097
Pb2 Pb 0.5000 0.0000 0.7903
Er1 Er 0.0000 0.5000 0.6057
Er2 Er 0.5000 0.0000 0.3943
Nb1 Nb 0.0000 0.5000 0.9413
Nb2 Nb 0.5000 0.0000 0.0587
```

---

A plane-wave DFT calculation with GGA-PBE was carried out for a relaxed structure of TcHg3Bi.

Values from the calculation:
The energy relative to the elements comes out at 0.80 eV per atom. The space-group type is No. 221. For the magnetization, the calculation gives 2.4 Bohr magnetons per cell. As for the energy above the most stable polymorph in this dataset: 0 meV per atom. Its uncorrected energy is -2.23 eV per atom.

Structure (CIF):
```
data_TcHg3Bi
_chemical_formula_sum 'Tc1 Hg3 Bi1'
_cell_length_a 5.2873
_cell_length_b 5.2873
_cell_length_c 5.2873
_cell_angle_alpha 90.00
_cell_angle_beta 90.00
_cell_angle_gamma 90.00
_symmetry_space_group_name_H-M 'P 1'
_symmetry_Int_Tables_number 1
loop_
_symmetry_equiv_pos_as_xyz
'x,y,z'
loop_
_atom_site_label
_atom_site_type_symbol
_atom_site_fract_x
_atom_site_fract_y
_atom_site_fract_z
Hg1 Hg 0.5000 0.0000 0.0000
Hg2 Hg 0.0000 0.0000 0.5000
Hg3 Hg 0.0000 0.5000 0.0000
Bi1 Bi 0.5000 0.5000 0.5000
Tc1 Tc 0.0000 0.0000 0.0000
```